A:
{"formula": "ZrGeBi3", "functional": "PBE-GGA", "state": "relaxed", "crystal_system": "cubic", "vol_a3_per_cell": 159.6, "lattice_angstrom": [[5.4247, 0.0000, 0.0000], [0.0000, 5.4247, 0.0000], [0.0000, 0.0000, 5.4247]], "species": ["Zr", "Ge", "Bi", "Bi", "Bi"], "fractional_positions": [[0.0000, 0.0000, 0.0000], [0.5000, 0.5000, 0.5000], [0.0000, 0.5000, 0.5000], [0.5000, 0.0000, 0.5000], [0.5000, 0.5000, 0.0000]]}

=====

B:
{"formula": "ZrGeBi3", "functional": "PBE-GGA", "state": "relaxed", "crystal_system": "cubic", "vol_a3_per_cell": 180.9, "lattice_angstrom": [[5.6561, 0.0000, 0.0000], [0.0000, 5.6561, 0.0000], [0.0000, 0.0000, 5.6561]], "species": ["Zr", "Ge", "Bi", "Bi", "Bi"], "fractional_positions": [[0.0000, 0.0000, 0.0000], [0.5000, 0.5000, 0.5000], [0.0000, 0.0000, 0.5000], [0.0000, 0.5000, 0.0000], [0.5000, 0.0000, 0.0000]]}

=====

Most stable of them? B.

=====

A:
{"formula": "Zr2Ge2Bi", "functional": "PBE-GGA", "state": "relaxed", "crystal_system": "tetragonal", "vol_a3_per_cell": 217.3, "lattice_angstrom": [[3.7979, 0.0000, 0.0000], [0.0000, 3.7979, 0.0000], [0.0000, 0.0000, 15.0621]], "species": ["Zr", "Zr", "Zr", "Zr", "Ge", "Ge", "Ge", "Ge", "Bi", "Bi"], "fractional_positions": [[0.0000, 0.0000, 0.1089], [0.0000, 0.0000, 0.8911], [0.5000, 0.5000, 0.3911], [0.5000, 0.5000, 0.6089], [0.0000, 0.5000, 0.2500], [0.0000, 0.5000, 0.7500], [0.5000, 0.0000, 0.2500], [0.5000, 0.0000, 0.7500], [0.0000, 0.0000, 0.5000], [0.5000, 0.5000, 0.0000]]}

=====

B:
{"formula": "Zr2Ge2Bi", "functional": "PBE-GGA", "state": "relaxed", "crystal_system": "tetragonal", "vol_a3_per_cell": 219.0, "lattice_angstrom": [[7.6790, 0.0000, 0.0000], [0.0000, 7.6790, 0.0000], [0.0000, 0.0000, 3.7137]], "species": ["Zr", "Zr", "Zr", "Zr", "Ge", "Ge", "Ge", "Ge", "Bi", "Bi"], "fractional_positions": [[0.1514, 0.3486, 0.0000], [0.3486, 0.8486, 0.0000], [0.6514, 0.1514, 0.0000], [0.8486, 0.6514, 0.0000], [0.1440, 0.6440, 0.5000], [0.3560, 0.1440, 0.5000], [0.6440, 0.8560, 0.5000], [0.8560, 0.3560, 0.5000], [0.0000, 0.0000, 0.0000], [0.5000, 0.5000, 0.0000]]}

=====

Most stable of them? A.

=====

A:
{"formula": "Zr3GeBi", "functional": "PBE-GGA", "state": "relaxed", "crystal_system": "cubic", "vol_a3_per_cell": 156.0, "lattice_angstrom": [[5.3828, 0.0000, 0.0000], [0.0000, 5.3828, 0.0000], [0.0000, 0.0000, 5.3828]], "species": ["Zr", "Zr", "Zr", "Ge", "Bi"], "fractional_positions": [[0.0000, 0.0000, 0.5000], [0.0000, 0.5000, 0.0000], [0.5000, 0.0000, 0.0000], [0.5000, 0.5000, 0.5000], [0.0000, 0.0000, 0.0000]]}

=====

B:
{"formula": "Zr3GeBi", "functional": "PBE-GGA", "state": "relaxed", "crystal_system": "orthorhombic", "vol_a3_per_cell": 249.0, "lattice_angstrom": [[4.9174, -6.1836, 0.0000], [4.9174, 6.1836, 0.0000], [0.0000, 0.0000, 4.0951]], "species": ["Zr", "Zr", "Zr", "Zr", "Zr", "Zr", "Ge", "Ge", "Bi", "Bi"], "fractional_positions": [[0.1845, 0.8155, 0.0000], [0.1887, 0.4419, 0.5000], [0.4419, 0.1887, 0.5000], [0.5581, 0.8113, 0.5000], [0.8113, 0.5581, 0.5000], [0.8155, 0.1845, 0.0000], [0.0000, 0.5000, 0.0000], [0.5000, 0.0000, 0.0000], [0.0000, 0.0000, 0.5000], [0.5000, 0.5000, 0.0000]]}

=====

Most stable of them? B.

=====

A:
{"formula": "Zr2GeBi", "functional": "PBE-GGA", "state": "relaxed", "crystal_system": "trigonal", "vol_a3_per_cell": 284.8, "lattice_angstrom": [[3.9807, 0.0000, 0.0000], [-1.9903, 3.4473, 0.0000], [0.0000, 0.0000, 20.7574]], "species": ["Zr", "Zr", "Zr", "Zr", "Zr", "Zr", "Ge", "Ge", "Ge", "Bi", "Bi", "Bi"], "fractional_positions": [[0.0000, 0.0000, 0.2370], [0.0000, 0.0000, 0.7630], [0.3333, 0.6667, 0.4296], [0.3333, 0.6667, 0.9037], [0.6667, 0.3333, 0.0963], [0.6667, 0.3333, 0.5704], [0.0000, 0.0000, 0.5000], [0.3333, 0.6667, 0.1667], [0.6667, 0.3333, 0.8333], [0.0000, 0.0000, 0.0000], [0.3333, 0.6667, 0.6667], [0.6667, 0.3333, 0.3333]]}

=====

B:
{"formula": "Zr2GeBi", "functional": "PBE-GGA", "state": "relaxed", "crystal_system": "trigonal", "vol_a3_per_cell": 284.6, "lattice_angstrom": [[3.9484, 0.0000, 0.0000], [-1.9742, 3.4194, 0.0000], [0.0000, 0.0000, 21.0782]], "species": ["Zr", "Zr", "Zr", "Zr", "Zr", "Zr", "Ge", "Ge", "Ge", "Bi", "Bi", "Bi"], "fractional_positions": [[0.0000, 0.0000, 0.0000], [0.0000, 0.0000, 0.1927], [0.3333, 0.6667, 0.6667], [0.3333, 0.6667, 0.8594], [0.6667, 0.3333, 0.3333], [0.6667, 0.3333, 0.5260], [0.0000, 0.0000, 0.5983], [0.3333, 0.6667, 0.2650], [0.6667, 0.3333, 0.9316], [0.0000, 0.0000, 0.4294], [0.3333, 0.6667, 0.0960], [0.6667, 0.3333, 0.7627]]}

=====

Most stable of them? B.

=====

A:
{"formula": "Zr2GeBi", "functional": "PBE-GGA", "state": "relaxed", "crystal_system": "tetragonal", "vol_a3_per_cell": 522.4, "lattice_angstrom": [[6.3599, 0.0000, 0.0000], [0.0000, 6.3599, 0.0000], [0.0000, 0.0000, 12.9154]], "species": ["Zr", "Zr", "Zr", "Zr", "Zr", "Zr", "Zr", "Zr", "Ge", "Ge", "Ge", "Ge", "Bi", "Bi", "Bi", "Bi"], "fractional_positions": [[0.2079, 0.2500, 0.1250], [0.2500, 0.7079, 0.3750], [0.2500, 0.7921, 0.8750], [0.2921, 0.2500, 0.6250], [0.7079, 0.7500, 0.6250], [0.7500, 0.2079, 0.8750], [0.7500, 0.2921, 0.3750], [0.7921, 0.7500, 0.1250], [0.0000, 0.0000, 0.0000], [0.0000, 0.5000, 0.2500], [0.5000, 0.0000, 0.7500], [0.5000, 0.5000, 0.5000], [0.0000, 0.0000, 0.5000], [0.0000, 0.5000, 0.7500], [0.5000, 0.0000, 0.2500], [0.5000, 0.5000, 0.0000]]}

=====

B:
{"formula": "Zr2GeBi", "functional": "PBE-GGA", "state": "relaxed", "crystal_system": "cubic", "vol_a3_per_cell": 353.3, "lattice_angstrom": [[7.0692, 0.0000, 0.0000], [0.0000, 7.0692, 0.0000], [0.0000, 0.0000, 7.0692]], "species": ["Zr", "Zr", "Zr", "Zr", "Zr", "Zr", "Zr", "Zr", "Ge", "Ge", "Ge", "Ge", "Bi", "Bi", "Bi", "Bi"], "fractional_positions": [[0.2500, 0.2500, 0.2500], [0.2500, 0.2500, 0.7500], [0.2500, 0.7500, 0.2500], [0.2500, 0.7500, 0.7500], [0.7500, 0.2500, 0.2500], [0.7500, 0.2500, 0.7500], [0.7500, 0.7500, 0.2500], [0.7500, 0.7500, 0.7500], [0.0000, 0.0000, 0.0000], [0.0000, 0.5000, 0.5000], [0.5000, 0.0000, 0.5000], [0.5000, 0.5000, 0.0000], [0.0000, 0.0000, 0.5000], [0.0000, 0.5000, 0.0000], [0.5000, 0.0000, 0.0000], [0.5000, 0.5000, 0.5000]]}

=====

Most stable of them? B.

=====

A:
{"formula": "BiH", "functional": "PBE-GGA", "state": "relaxed", "crystal_system": "monoclinic", "vol_a3_per_cell": 100.8, "lattice_angstrom": [[4.6537, 0.0000, 0.0000], [0.0000, 4.6546, 0.0000], [-0.0986, 0.0000, 4.6520]], "species": ["Bi", "Bi", "H", "H"], "fractional_positions": [[0.0000, 0.0000, 0.0000], [0.5000, 0.5000, 0.0000], [0.0071, 0.0000, 0.3972], [0.5071, 0.5000, 0.3972]]}

=====

B:
{"formula": "BiH", "functional": "PBE-GGA", "state": "relaxed", "crystal_system": "orthorhombic", "vol_a3_per_cell": 249.7, "lattice_angstrom": [[3.8717, 0.0000, 0.0000], [0.0000, 9.7908, 0.0000], [0.0000, 0.0000, 6.5861]], "species": ["Bi", "Bi", "Bi", "Bi", "Bi", "Bi", "H", "H", "H", "H", "H", "H"], "fractional_positions": [[0.2500, 0.0912, 0.2431], [0.2500, 0.4088, 0.2431], [0.2500, 0.7500, 0.3928], [0.7500, 0.2500, 0.6072], [0.7500, 0.5911, 0.7569], [0.7500, 0.9088, 0.7569], [0.2500, 0.2500, 0.7350], [0.2500, 0.5819, 0.8891], [0.2500, 0.9181, 0.8891], [0.7500, 0.0819, 0.1109], [0.7500, 0.4181, 0.1109], [0.7500, 0.7500, 0.2650]]}

=====

Most stable of them? A.

=====

A:
{"formula": "BiH", "functional": "PBE-GGA", "state": "relaxed", "crystal_system": "triclinic", "vol_a3_per_cell": 127.8, "lattice_angstrom": [[4.3139, 0.0000, 0.0000], [2.1549, 3.7443, 0.0000], [0.1004, 0.5951, 7.9126]], "species": ["Bi", "Bi", "H", "H"], "fractional_positions": [[0.1727, 0.1496, 0.1098], [0.8273, 0.8504, 0.8902], [0.4710, 0.5517, 0.4574], [0.5290, 0.4483, 0.5426]]}

=====

B:
{"formula": "BiH", "functional": "PBE-GGA", "state": "relaxed", "crystal_system": "cubic", "vol_a3_per_cell": 151.5, "lattice_angstrom": [[5.3312, 0.0000, 0.0000], [0.0000, 5.3312, 0.0000], [0.0000, 0.0000, 5.3312]], "species": ["Bi", "Bi", "Bi", "Bi", "H", "H", "H", "H"], "fractional_positions": [[0.0000, 0.0000, 0.0000], [0.0000, 0.5000, 0.5000], [0.5000, 0.0000, 0.5000], [0.5000, 0.5000, 0.0000], [0.2500, 0.2500, 0.2500], [0.2500, 0.7500, 0.7500], [0.7500, 0.2500, 0.7500], [0.7500, 0.7500, 0.2500]]}

=====

C:
{"formula": "BiH", "functional": "PBE-GGA", "state": "relaxed", "crystal_system": "cubic", "vol_a3_per_cell": 277.2, "lattice_angstrom": [[6.5206, 0.0000, 0.0000], [0.0000, 6.5206, 0.0000], [0.0000, 0.0000, 6.5206]], "species": ["Bi", "Bi", "Bi", "Bi", "Bi", "Bi", "H", "H", "H", "H", "H", "H"], "fractional_positions": [[0.0000, 0.2500, 0.5000], [0.0000, 0.7500, 0.5000], [0.2500, 0.5000, 0.0000], [0.5000, 0.0000, 0.2500], [0.5000, 0.0000, 0.7500], [0.7500, 0.5000, 0.0000], [0.0000, 0.5000, 0.2500], [0.0000, 0.5000, 0.7500], [0.2500, 0.0000, 0.5000], [0.5000, 0.2500, 0.0000], [0.5000, 0.7500, 0.0000], [0.7500, 0.0000, 0.5000]]}

=====

Most stable of them? A.

=====

A:
{"formula": "BiH", "functional": "PBE-GGA", "state": "relaxed", "crystal_system": "cubic", "vol_a3_per_cell": 134.8, "lattice_angstrom": [[5.1272, 0.0000, 0.0000], [0.0000, 5.1272, 0.0000], [0.0000, 0.0000, 5.1272]], "species": ["Bi", "Bi", "Bi", "Bi", "H", "H", "H", "H"], "fractional_positions": [[0.0000, 0.0000, 0.0000], [0.0000, 0.5000, 0.5000], [0.5000, 0.0000, 0.5000], [0.5000, 0.5000, 0.0000], [0.0000, 0.0000, 0.5000], [0.0000, 0.5000, 0.0000], [0.5000, 0.0000, 0.0000], [0.5000, 0.5000, 0.5000]]}

=====

B:
{"formula": "BiH", "functional": "PBE-GGA", "state": "relaxed", "crystal_system": "monoclinic", "vol_a3_per_cell": 241.1, "lattice_angstrom": [[7.4788, 0.0000, 0.0000], [0.0000, 4.3355, 0.0000], [-2.3702, 0.0000, 7.4361]], "species": ["Bi", "Bi", "Bi", "Bi", "H", "H", "H", "H"], "fractional_positions": [[0.2039, 0.0000, 0.1167], [0.2961, 0.5000, 0.8833], [0.7039, 0.5000, 0.1167], [0.7961, 0.0000, 0.8833], [0.0047, 0.0000, 0.5495], [0.4953, 0.5000, 0.4505], [0.5047, 0.5000, 0.5495], [0.9953, 0.0000, 0.4505]]}

=====

Most stable of them? B.